# 1
Computed, not measured: crystalline Ca2Pm3PrSe6 at its relaxed geometry at the PBE level of DFT.

Structure (extended XYZ):
```
12
Lattice="3.630 -6.301 0.000 3.630 6.301 0.000 -2.434 0.000 6.914" Properties=species:S:1:pos:R:3 pbc="T T T"
Ca 3.630 4.193 0.000
Ca 3.630 -4.193 0.000
Pm -1.217 0.000 3.457
Pm 2.413 2.094 3.457
Pm 2.413 -2.094 3.457
Pr 3.630 0.000 0.000
Se -0.036 2.142 5.202
Se 1.158 0.000 1.719
Se -0.036 -2.142 5.202
Se 4.861 2.142 1.711
Se 3.667 0.000 5.194
Se 4.861 -2.142 1.711
```

Summary:
DOS at the Fermi energy = 0.45 states/eV per atom
energy relative to the elements, uncorrected = -1.8799 eV per atom
final energy = -66.500 eV per cell


# 2
Computed, not measured: crystalline TlIr2I at its relaxed geometry at the PBE level of DFT.

Structure (extended XYZ):
```
8
Lattice="-2.332 2.332 8.406 2.332 -2.332 8.406 2.332 2.332 -8.406" Properties=species:S:1:pos:R:3 pbc="T T T"
Tl 0.000 0.000 0.000
Tl 0.000 2.332 4.203
Ir 1.166 -0.893 6.304
Ir 1.438 1.166 2.101
Ir 1.166 3.225 -2.101
Ir 0.893 1.166 10.507
I 2.332 0.000 4.203
I 0.000 0.000 8.406
```

Summary:
DOS at the Fermi energy = 0.15 states/eV per atom
energy relative to the elements, uncorrected = 0.8869 eV per atom
final energy = -36.182 eV per cell


# 3
Computed, not measured: crystalline CaSm3Y2Te6 at its relaxed geometry at the PBE level of DFT.

Structure (extended XYZ):
```
12
Lattice="9.657 -2.205 0.000 9.657 2.205 0.000 -2.112 0.000 8.638" Properties=species:S:1:pos:R:3 pbc="T T T"
Ca 0.000 0.000 0.000
Sm -1.056 0.000 4.319
Sm 6.085 0.000 1.513
Sm 11.117 0.000 7.125
Y 4.976 0.000 5.704
Y 12.227 0.000 2.934
Te 3.031 0.000 0.739
Te 1.995 0.000 4.988
Te 8.005 0.000 6.492
Te 9.198 0.000 2.146
Te 15.207 0.000 3.650
Te 14.171 0.000 7.899
```

Summary:
DOS at the Fermi energy = 0.50 states/eV per atom
energy relative to the elements, uncorrected = -1.3988 eV per atom
final energy = -64.723 eV per cell


# 4
Computed, not measured: crystalline NdCdGa at its relaxed geometry at the PBE level of DFT.

Structure (extended XYZ):
```
3
Lattice="-1.763 1.763 5.879 1.763 -1.763 5.879 1.763 1.763 -5.879" Properties=species:S:1:pos:R:3 pbc="T T T"
Nd 0.000 0.000 0.000
Cd 0.000 0.000 8.153
Ga 0.000 0.000 3.882
```

Summary:
DOS at the Fermi energy = 0.63 states/eV per atom
ΔE_f = -0.300 eV/atom
final energy = -9.611 eV per cell


# 5
Computed, not measured: crystalline Sc8CoIr2 at its relaxed geometry at the PBE level of DFT.

Structure (extended XYZ):
```
11
Lattice="3.965 -5.867 0.000 3.965 5.867 0.000 -1.759 0.000 5.006" Properties=species:S:1:pos:R:3 pbc="T T T"
Sc 0.000 0.000 0.000
Sc 0.244 1.484 2.889
Sc 2.515 2.448 0.924
Sc 0.244 -1.484 2.889
Sc 3.138 1.483 3.898
Sc 2.515 -2.448 0.924
Sc 3.138 -1.483 3.898
Sc 5.051 0.000 1.855
Co 2.277 0.000 1.535
Ir 1.699 3.654 3.438
Ir 1.699 -3.654 3.438
```

Summary:
DOS at the Fermi energy = 0.96 states/eV per atom
ΔE_f = -0.401 eV/atom
final energy = -79.886 eV per cell


# 6
Computed, not measured: crystalline UCrC2 at its relaxed geometry at the PBE level of DFT.

Structure (extended XYZ):
```
4
Lattice="1.581 0.913 5.219 -1.581 0.913 5.219 0.000 -1.826 5.219" Properties=species:S:1:pos:R:3 pbc="T T T"
U 0.000 0.000 0.000
Cr 0.000 0.000 7.829
C 0.000 0.000 3.682
C 0.000 0.000 11.976
```

Summary:
DOS at the Fermi energy = 1.14 states/eV per atom
ΔE_f = 0.003 eV/atom
final energy = -39.346 eV per cell


Copy entry 3 word for word.
Computed, not measured: crystalline CaSm3Y2Te6 at its relaxed geometry at the PBE level of DFT.

Structure (extended XYZ):
```
12
Lattice="9.657 -2.205 0.000 9.657 2.205 0.000 -2.112 0.000 8.638" Properties=species:S:1:pos:R:3 pbc="T T T"
Ca 0.000 0.000 0.000
Sm -1.056 0.000 4.319
Sm 6.085 0.000 1.513
Sm 11.117 0.000 7.125
Y 4.976 0.000 5.704
Y 12.227 0.000 2.934
Te 3.031 0.000 0.739
Te 1.995 0.000 4.988
Te 8.005 0.000 6.492
Te 9.198 0.000 2.146
Te 15.207 0.000 3.650
Te 14.171 0.000 7.899
```

Summary:
DOS at the Fermi energy = 0.50 states/eV per atom
energy relative to the elements, uncorrected = -1.3988 eV per atom
final energy = -64.723 eV per cell